The following is a PBE+U calculation of crystalline Co4Tc2F at its relaxed geometry, from Alexandria.

```
Co4Tc2F
1.0
-2.800 -2.114 -1.532
1.616 0.361 -3.452
2.991 -6.419 -1.394
Co F Tc
4 1 2
Direct
0.170 0.170 0.660 Co
0.000 0.500 0.000 Co
0.830 0.830 0.340 Co
0.500 0.000 0.000 Co
0.000 0.000 0.000 F
0.648 0.648 0.704 Tc
0.352 0.352 0.296 Tc
```

Properties
Its total magnetic moment is 11.64 μB per cell. Its space-group type is I4/mmm (139). The calculation puts the total energy at -5.26 eV/atom. For the volume, the calculation gives 14.0 A^3/atom.